PrTmMg3: optimized geometry, PBE-GGA.

Structure (POSCAR):
```
PrTmMg3
1.0
3.931 2.270 5.689
-3.931 2.270 5.689
0.000 -4.539 5.689
Pr Tm Mg
2 2 6
Direct
0.094 0.094 0.094
0.906 0.906 0.906
0.407 0.407 0.407
0.593 0.593 0.593
0.020 0.468 0.270
0.270 0.020 0.468
0.468 0.270 0.020
0.532 0.730 0.980
0.730 0.980 0.532
0.980 0.532 0.730
```

The value obtained for the volume is 304.5 Å³ per cell. Its space group is R-3. Its formation energy is 0.3655 eV per atom. The density comes out at 4.2 g/cm3. Its magnetic moment is 0.000 μB/f.u. The uncorrected energy comes out at -24.415 eV for the cell shown.